Computed, not measured: crystalline Na4FeTe4 at its relaxed geometry at the PBE level of DFT.

abc: 7.3822 8.0055 10.6355
angles: 106.54 90.66 109.60
Fractional positions:
Na: 0.8270 0.2997 0.8429
Te: 0.4688 0.1692 0.3371
Fe: 0.7347 0.4020 0.2523
Te: 0.9383 0.2466 0.1047
Na: 0.6876 0.8500 0.9496
Na: 0.1731 0.7003 0.1571
Fe: 0.2652 0.5980 0.7478
Te: 0.4123 0.4080 0.8622
Te: 0.9633 0.7034 0.4133
Te: 0.5876 0.5920 0.1378
Te: 0.0619 0.7532 0.8951
Na: 0.3124 0.1500 0.0504
Na: 0.2618 0.4690 0.3834
Na: 0.7382 0.5310 0.6166
Te: 0.5310 0.8307 0.6629
Na: 0.2830 0.0450 0.5950
Na: 0.7170 0.9550 0.4050
Te: 0.0368 0.2967 0.5868

uncorrected energy = -62.09 eV per cell
crystal system = triclinic
magnetization = 9.9 μB/cell


Computed, not measured: crystalline NaFe3Te5 at its relaxed geometry at the PBE level of DFT.

abc: 5.7446 5.7446 7.7619
angles: 90.00 90.00 120.00
Fractional positions:
Te: 0.6667 0.3333 0.7540
Te: 0.6667 0.3333 0.2460
Te: 0.3333 0.6667 0.7540
Te: 0.0000 0.0000 0.5000
Na: 0.0000 0.0000 0.0000
Te: 0.3333 0.6667 0.2460
Fe: 0.0000 0.5000 0.5000
Fe: 0.5000 0.5000 0.5000
Fe: 0.5000 0.0000 0.5000

uncorrected energy = -42.35 eV per cell
crystal system = hexagonal
magnetization = 5.0 μB/cell


Computed, not measured: crystalline NaYFeTe3 at its relaxed geometry at the PBE level of DFT.

abc: 11.5486 4.3224 13.9506
angles: 90.00 90.00 90.00
Fractional positions:
Te: 0.9060 0.5000 0.5977
Te: 0.2625 0.5000 0.1679
Fe: 0.7659 0.0000 0.2196
Y: 0.5172 0.5000 0.2385
Te: 0.0940 0.0000 0.4023
Te: 0.4534 0.0000 0.3851
Te: 0.9534 0.0000 0.1149
Y: 0.4828 0.0000 0.7615
Fe: 0.2659 0.0000 0.2804
Te: 0.7375 0.0000 0.8321
Na: 0.2137 0.0000 0.9914
Na: 0.7863 0.5000 0.0086
Te: 0.5940 0.0000 0.0977
Te: 0.0466 0.5000 0.8851
Te: 0.2375 0.0000 0.6679
Na: 0.2863 0.5000 0.4914
Na: 0.7137 0.0000 0.5085
Te: 0.5466 0.5000 0.6149
Te: 0.4060 0.5000 0.9023
Fe: 0.2341 0.5000 0.7804
Y: 0.9828 0.0000 0.7385
Te: 0.7625 0.5000 0.3321
Fe: 0.7341 0.5000 0.7196
Y: 0.0172 0.5000 0.2615

offset from the most stable computed form = 0.25 eV/f.u.
crystal system = orthorhombic
magnetization = 15.9 μB/cell


Computed, not measured: crystalline NaYFeTe3 at its relaxed geometry at the PBE level of DFT.

abc: 8.8438 4.2066 10.0427
angles: 90.00 104.45 90.00
Fractional positions:
Te: 0.2629 0.2500 0.9707
Fe: 0.4345 0.7500 0.9216
Te: 0.0705 0.2500 0.3344
Te: 0.4255 0.7500 0.6565
Te: 0.5745 0.2500 0.3435
Y: 0.8268 0.7500 0.3515
Na: 0.7069 0.2500 0.7570
Y: 0.1732 0.2500 0.6485
Te: 0.9295 0.7500 0.6656
Fe: 0.5655 0.2500 0.0784
Te: 0.7371 0.7500 0.0293
Na: 0.2931 0.7500 0.2430

offset from the most stable computed form = 0.00 eV/f.u.
crystal system = monoclinic
magnetization = 7.4 μB/cell


Computed, not measured: crystalline NaYFeTe3 at its relaxed geometry at the PBE level of DFT.

abc: 4.2376 7.6462 11.3426
angles: 90.00 90.00 73.91
Fractional positions:
Te: 0.6403 0.7194 0.4301
Te: 0.9169 0.1662 0.2500
Te: 0.3597 0.2806 0.9301
Y: 0.0000 0.0000 0.5000
Te: 0.3597 0.2806 0.5699
Na: 0.7579 0.4841 0.7500
Na: 0.2421 0.5159 0.2500
Y: 0.0000 0.0000 0.0000
Fe: 0.5290 0.9419 0.2500
Fe: 0.4710 0.0581 0.7500
Te: 0.0831 0.8338 0.7500
Te: 0.6403 0.7194 0.0699

offset from the most stable computed form = 0.20 eV/f.u.
crystal system = orthorhombic
magnetization = 7.9 μB/cell


Computed, not measured: crystalline NaZrFeTe3 at its relaxed geometry at the PBE level of DFT.

abc: 7.8000 7.8000 10.5796
angles: 90.00 90.00 150.78
Fractional positions:
Zr: 0.5000 0.5000 0.5000
Fe: 0.9723 0.0277 0.7500
Te: 0.1370 0.8630 0.4392
Te: 0.8630 0.1370 0.9392
Na: 0.7407 0.2593 0.2500
Te: 0.1370 0.8630 0.0608
Te: 0.8630 0.1370 0.5608
Te: 0.5886 0.4114 0.7500
Fe: 0.0277 0.9723 0.2500
Zr: 0.5000 0.5000 0.0000
Te: 0.4114 0.5886 0.2500
Na: 0.2593 0.7407 0.7500

uncorrected energy = -62.79 eV per cell
crystal system = orthorhombic
magnetization = 5.4 μB/cell


Computed, not measured: crystalline NaThFe at its relaxed geometry at the PBE level of DFT.

abc: 4.6157 4.6157 4.6157
angles: 60.00 60.00 60.00
Fractional positions:
Fe: 0.0000 0.0000 0.0000
Na: 0.7500 0.7500 0.7500
Th: 0.2500 0.2500 0.2500

offset from the most stable computed form = 0.00 eV/f.u.
crystal system = cubic
magnetization = 0.8 μB/cell


Computed, not measured: crystalline NaThFe at its relaxed geometry at the PBE level of DFT.

abc: 4.7852 4.7852 4.7852
angles: 60.00 60.00 60.00
Fractional positions:
Fe: 0.5000 0.5000 0.5000
Na: 0.0000 0.0000 0.0000
Th: 0.2500 0.2500 0.2500

offset from the most stable computed form = 1.56 eV/f.u.
crystal system = cubic
magnetization = 1.0 μB/cell


Computed, not measured: crystalline Na2TlFe at its relaxed geometry at the PBE level of DFT.

abc: 4.9389 4.9389 4.9389
angles: 60.00 60.00 60.00
Fractional positions:
Na: 0.0000 0.0000 0.0000
Fe: 0.2500 0.2500 0.2500
Tl: 0.5000 0.5000 0.5000
Na: 0.7500 0.7500 0.7500

uncorrected energy = -11.51 eV per cell
crystal system = cubic
magnetization = 3.0 μB/cell


Computed, not measured: crystalline NaTlFe2 at its relaxed geometry at the PBE level of DFT.

abc: 4.5658 4.5658 4.5658
angles: 60.00 60.00 60.00
Fractional positions:
Fe: 0.7500 0.7500 0.7500
Tl: 0.5000 0.5000 0.5000
Na: 0.2500 0.2500 0.2500
Fe: 0.0000 0.0000 0.0000

uncorrected energy = -17.76 eV per cell
crystal system = cubic
magnetization = 5.2 μB/cell


Computed, not measured: crystalline NaTlFeW at its relaxed geometry at the PBE level of DFT.

abc: 4.5791 4.5791 4.5791
angles: 60.00 60.00 60.00
Fractional positions:
Na: 0.7500 0.7500 0.7500
Tl: 0.5000 0.5000 0.5000
W: 0.2500 0.2500 0.2500
Fe: 0.0000 0.0000 0.0000

offset from the most stable computed form = 0.22 eV/f.u.
crystal system = cubic
magnetization = 1.2 μB/cell


Computed, not measured: crystalline NaTlFeW at its relaxed geometry at the PBE level of DFT.

abc: 4.4848 4.4848 4.4848
angles: 60.00 60.00 60.00
Fractional positions:
Tl: 0.5000 0.5000 0.5000
W: 0.0000 0.0000 0.0000
Fe: 0.2500 0.2500 0.2500
Na: 0.7500 0.7500 0.7500

offset from the most stable computed form = 0.00 eV/f.u.
crystal system = cubic
magnetization = 0.0 μB/cell


Computed, not measured: crystalline NaTmFe at its relaxed geometry at the PBE level of DFT.

abc: 4.7228 4.7228 4.7228
angles: 60.00 60.00 60.00
Fractional positions:
Na: 0.2500 0.2500 0.2500
Tm: 0.7500 0.7500 0.7500
Fe: 0.0000 0.0000 0.0000

offset from the most stable computed form = 0.00 eV/f.u.
crystal system = cubic
magnetization = 1.9 μB/cell